## V6O11F (PBE with a Hubbard U)

Data for an optimized crystal structure of V6O11F.

Structure (POSCAR):
```
V6O11F
1.0
8.9684 0.0000 0.0000
0.0000 3.2172 3.3319
0.0000 -3.2172 3.3319
V O F
6 11 1
Cartesian
0.0000 0.0000 0.0000
1.5075 0.0000 3.5136
2.8611 0.0000 0.1516
4.4842 0.0000 3.1394
6.1073 0.0000 0.1516
7.4609 0.0000 3.5136
0.0000 -1.2443 3.3449
0.0000 1.2443 3.3449
1.5449 0.0000 5.3540
1.5834 0.0000 1.3665
3.0139 -1.2634 3.3439
3.0139 1.2634 3.3439
4.4842 0.0000 1.3212
5.9545 -1.2634 3.3439
5.9545 1.2634 3.3439
7.3850 0.0000 1.3665
7.4234 0.0000 5.3540
4.4842 0.0000 5.4133
```

Computed properties:
Energy in eV per formula unit: -138.07
Energy relative to the lowest polymorph listed for this composition in eV per formula unit: 0.13